DFT (GGA-PBE) results for an optimized crystal structure of HoSiGe2Ru2.

Values from the calculation:
Formation energy without anion corrections (kJ per mole of atoms): -21.57
Mass density (g cm⁻³): 8.227
Fermi-level density of states (states/eV/atom): 1.002

```
6
Lattice="-3.483 1.221 2.492 0.505 -3.654 2.495 3.370 2.759 3.359" Properties=species:S:1:pos:R:3 pbc="T T T"
Ho 1.685 1.379 1.679
Si 0.000 0.000 0.000
Ge 0.952 0.781 4.926
Ge -0.559 -0.456 3.420
Ru -1.741 0.610 1.246
Ru 0.252 -1.827 1.248
```

---

DFT (GGA-PBE) results for an optimized crystal structure of YHoGeRu.

Values from the calculation:
ΔE_f (eV per atom): -0.638
Mass density (g cm⁻³): 8.003
Fermi-level density of states (states/eV/atom): 0.463

```
4
Lattice="-3.689 -1.948 0.695 0.876 -0.328 3.733 -0.514 5.790 0.630" Properties=species:S:1:pos:R:3 pbc="T T T"
Y -3.070 2.258 2.903
Ho -0.633 1.292 0.262
Ge -2.028 4.140 0.840
Ru -1.800 -0.335 2.377
```